Density functional theory data (PBE+U) for a relaxed CaFe2WO6 crystal.

a = 5.429 Å, b = 5.450 Å, c = 5.828 Å
α = 61.90°, β = 61.51°, γ = 59.89°
Fractional coordinates of all 10 atoms:
1 O 0.569 0.238 0.235
2 O 0.943 0.561 0.242
3 O 0.387 0.699 0.782
4 O 0.152 0.395 0.761
5 O 0.235 0.955 0.234
6 O 0.700 0.137 0.779
7 Fe 0.024 0.025 0.933
8 Fe 0.525 0.519 0.434
9 W 0.319 0.318 0.044
10 Ca 0.807 0.813 0.572

N(E_F) ... 0.000 states/eV/f.u.
E ... -70.38 eV for the cell shown